Compound: Cr2Au
Source: the Alexandria database
Functional: PBE
Structure: optimized geometry

Output
**Final energy**: -6.71 eV/atom

Cell lengths 5.3138, 5.3138, 5.3138 Å; angles 105.65, 105.65, 117.42 degrees
Positions (direct):
1 Au 0.7500 0.7500 0.0000
2 Au 0.2500 0.2500 0.0000
3 Cr 0.1608 0.3392 0.5000
4 Cr 0.3392 0.8392 0.1785
5 Cr 0.8392 0.6608 0.5000
6 Cr 0.6608 0.1608 0.8215

Compound: PmAg4Rh
Source: the Alexandria database
Functional: PBE
Structure: optimized geometry

Output
**Final energy**: -3.99 eV/atom

Cell lengths 5.4897, 5.4897, 5.4897 Å; angles 60.00, 60.00, 60.00 degrees
Positions (direct):
1 Ag 0.1269 0.6244 0.6244
2 Ag 0.6244 0.1269 0.6244
3 Ag 0.6244 0.6244 0.1269
4 Ag 0.6244 0.6244 0.6244
5 Rh 0.2500 0.2500 0.2500
6 Pm 0.0000 0.0000 0.0000

Compound: AcGdRh4
Source: the Alexandria database
Functional: PBE
Structure: optimized geometry

Output
**Final energy**: -8.55 eV/atom

Cell lengths 5.4582, 5.4582, 5.4582 Å; angles 60.00, 60.00, 60.00 degrees
Positions (direct):
1 Rh 0.1267 0.6244 0.6244
2 Rh 0.6244 0.6244 0.1267
3 Rh 0.6244 0.6244 0.6244
4 Rh 0.6244 0.1267 0.6244
5 Gd 0.2500 0.2500 0.2500
6 Ac 0.0000 0.0000 0.0000

Compound: Pa5Sb5H2
Source: the Alexandria database
Functional: PBE
Structure: optimized geometry

Output
**Final energy**: -6.53 eV/atom

Cell lengths 4.0174, 7.1670, 10.4422 Å; angles 100.65, 90.00, 106.28 degrees
Positions (direct):
1 Sb 0.3332 0.6663 0.8949
2 Sb 0.6668 0.3337 0.1051
3 Sb 0.7765 0.5531 0.3915
4 Sb 0.2235 0.4469 0.6085
5 Sb 0.5000 0.0000 0.5000
6 Pa 0.9075 0.8149 0.6800
7 Pa 0.6530 0.3060 0.8027
8 Pa 0.0925 0.1851 0.3200
9 Pa 0.3470 0.6940 0.1973
10 Pa 0.0000 0.0000 0.0000
11 H 0.9335 0.8671 0.1878
12 H 0.0665 0.1329 0.8122

Compound: BeReTc
Source: the Alexandria database
Functional: PBE
Structure: optimized geometry

Output
**Excess energy over the best structure of this formula in the dataset**: 0.3390 eV per atom
**Final energy**: -8.79 eV/atom

Cell lengths 4.1097, 4.1097, 2.6911 Å; angles 90.00, 90.00, 120.00 degrees
Positions (direct):
1 Be 0.0000 0.0000 0.9880
2 Re 0.3333 0.6667 0.3273
3 Tc 0.6667 0.3333 0.6847

Compound: Ta2PbCl
Source: the Alexandria database
Functional: PBE
Structure: optimized geometry

Output
**Excess energy over the best structure of this formula in the dataset**: 0.8802 eV per atom
**Final energy**: -6.51 eV/atom
**Uncorrected formation energy**: 0.80 eV/atom

Cell lengths 3.3815, 3.3815, 6.6622 Å; angles 90.00, 90.00, 90.00 degrees
Positions (direct):
1 Cl 0.5000 0.5000 0.2500
2 Ta 0.0000 0.0000 0.0102
3 Ta 0.0000 0.0000 0.4898
4 Pb 0.5000 0.5000 0.7500

Compound: Sr3LiLa2Se6
Source: the Alexandria database
Functional: PBE
Structure: optimized geometry

Output
**Final energy**: -5.06 eV/atom
**Uncorrected formation energy**: -1.92 eV/atom

Cell lengths 7.5287, 7.5287, 7.5588 Å; angles 99.55, 99.55, 120.00 degrees
Positions (direct):
1 Sr 0.1658 0.8342 0.5000
2 Sr 0.8342 0.1658 0.5000
3 Sr 0.5000 0.5000 0.5000
4 Se 0.5890 0.9202 0.7609
5 Se 0.9202 0.5890 0.7609
6 Se 0.2516 0.2516 0.7618
7 Se 0.7484 0.7484 0.2382
8 Se 0.0798 0.4110 0.2391
9 Se 0.4110 0.0798 0.2391
10 La 0.6668 0.3332 0.0000
11 La 0.3332 0.6668 0.0000
12 Li 0.0000 0.0000 0.0000

Compound: AcTm2In2
Source: the Alexandria database
Functional: PBE
Structure: optimized geometry

Output
**Excess energy over the best structure of this formula in the dataset**: 0.0450 eV per atom
**Final energy**: -3.93 eV/atom

Cell lengths 5.1541, 5.1541, 12.9045 Å; angles 101.52, 101.52, 90.00 degrees
Positions (direct):
1 In 0.5000 0.0000 0.0000
2 In 0.8156 0.8156 0.6312
3 In 0.1844 0.1844 0.3688
4 In 0.0000 0.5000 0.0000
5 Tm 0.2500 0.7500 0.5000
6 Tm 0.9337 0.9337 0.8674
7 Tm 0.7500 0.2500 0.5000
8 Tm 0.0663 0.0663 0.1326
9 Ac 0.3749 0.3749 0.7498
10 Ac 0.6251 0.6251 0.2502

Compound: PdPbI
Source: the Alexandria database
Functional: PBE
Structure: optimized geometry

Output
**Excess energy over the best structure of this formula in the dataset**: 0.0743 eV per atom
**Final energy**: -3.68 eV/atom
**Uncorrected formation energy**: -0.20 eV/atom

Cell lengths 3.9457, 6.3086, 7.1425 Å; angles 97.30, 106.09, 89.97 degrees
Positions (direct):
1 Pd 0.1727 0.1205 0.7826
2 Pd 0.4104 0.5504 0.2631
3 Pb 0.0035 0.3136 0.4465
4 Pb 0.7545 0.4090 0.9476
5 I 0.3551 0.9597 0.1452
6 I 0.6018 0.7650 0.6459

Compound: RbPH2O4
Source: the Alexandria database
Functional: PBE
Structure: optimized geometry

Output
**Excess energy over the best structure of this formula in the dataset**: 0.0108 eV per atom
**Final energy**: -5.95 eV/atom

Cell lengths 6.3021, 9.0846, 9.7171 Å; angles 54.56, 90.00, 90.00 degrees
Positions (direct):
1 O 0.2295 0.3861 0.5643
2 O 0.2705 0.3861 0.0643
3 O 0.5594 0.8580 0.4323
4 O 0.0399 0.1003 0.6314
5 O 0.9406 0.8580 0.9323
6 O 0.9601 0.8997 0.3686
7 O 0.4406 0.1420 0.5677
8 O 0.7295 0.6139 0.9357
9 O 0.0594 0.1420 0.0677
10 O 0.5399 0.8997 0.8686
11 O 0.3193 0.3442 0.8375
12 O 0.4601 0.1003 0.1314
13 O 0.8193 0.6558 0.6625
14 O 0.7705 0.6139 0.4357
15 O 0.1807 0.3442 0.3375
16 O 0.6807 0.6558 0.1625
17 H 0.0198 0.0422 0.1928
18 H 0.9802 0.9578 0.8072
19 H 0.7610 0.6489 0.8162
20 H 0.7390 0.6489 0.3162
21 H 0.5198 0.9578 0.3072
22 H 0.4802 0.0422 0.6928
23 H 0.2610 0.3511 0.6838
24 H 0.2390 0.3511 0.1838
25 P 0.7141 0.7625 0.9729
26 P 0.2141 0.2375 0.5271
27 P 0.2859 0.2375 0.0271
28 P 0.7859 0.7625 0.4729
29 Rb 0.2584 0.7311 0.7134
30 Rb 0.2416 0.7311 0.2134
31 Rb 0.7584 0.2689 0.7866
32 Rb 0.7416 0.2689 0.2866

Compound: AgPBrO2
Source: the Alexandria database
Functional: PBE
Structure: optimized geometry

Output
**Excess energy over the best structure of this formula in the dataset**: 0.0216 eV per atom
**Final energy**: -3.22 eV/atom
**Uncorrected formation energy**: 0.75 eV/atom

Cell lengths 3.9937, 3.9937, 5.4552 Å; angles 90.00, 90.00, 90.00 degrees
Positions (direct):
1 Ag 0.0000 0.0000 0.0000
2 O 0.0000 0.5000 0.0000
3 O 0.5000 0.0000 0.0000
4 P 0.0000 0.0000 0.5000
5 Br 0.5000 0.5000 0.5000

Compound: Hf2AlP2
Source: the Alexandria database
Functional: PBE
Structure: optimized geometry

Output
**Final energy**: -7.63 eV/atom

Cell lengths 7.0331, 7.0331, 3.4124 Å; angles 90.00, 90.00, 90.00 degrees
Positions (direct):
1 Al 0.0000 0.0000 0.0000
2 Al 0.5000 0.5000 0.0000
3 P 0.3581 0.8581 0.0000
4 P 0.1419 0.3581 0.0000
5 P 0.8581 0.6419 0.0000
6 P 0.6419 0.1419 0.0000
7 Hf 0.8451 0.3451 0.5000
8 Hf 0.3451 0.1549 0.5000
9 Hf 0.1549 0.6549 0.5000
10 Hf 0.6549 0.8451 0.5000